Record 1
First-principles (PBE) data for a relaxed structure of Pu2MgGe4Pd3, as listed in Alexandria via LeMat-Bulk.

Properties
Symmetry ... No. 115
DFT formation energy ... -527.6 meV/atom

```
Pu2MgGe4Pd3
1.0
4.1988 0.0000 0.0000
0.0000 4.1988 0.0000
0.0000 0.0000 11.0531
Pu Mg Ge Pd
2 1 4 3
Direct
0.0000 0.5000 0.2444 Pu
0.5000 0.0000 0.7556 Pu
0.0000 0.0000 0.5000 Mg
0.0000 0.0000 0.0000 Ge
0.0000 0.5000 0.6482 Ge
0.5000 0.0000 0.3518 Ge
0.5000 0.5000 0.0000 Ge
0.0000 0.5000 0.8708 Pd
0.5000 0.0000 0.1292 Pd
0.5000 0.5000 0.5000 Pd
```

***

Record 2
First-principles (PBE) data for a relaxed structure of InSn3Cl7, as listed in Alexandria via LeMat-Bulk.

Properties
Formation energy (no corrections) ... -0.92 eV per atom
Symmetry ... No. 12

```
InSn3Cl7
1.0
4.6698 -5.2568 0.0000
4.6698 5.2568 0.0000
-2.7236 0.0000 6.7902
In Sn Cl
1 3 7
Direct
0.0000 0.0000 0.0000 In
0.2680 0.7320 0.5000 Sn
0.5000 0.5000 0.0000 Sn
0.7320 0.2680 0.5000 Sn
0.0000 0.0000 0.5000 Cl
0.1231 0.5431 0.7650 Cl
0.3504 0.3504 0.2710 Cl
0.4569 0.8769 0.2350 Cl
0.5431 0.1231 0.7650 Cl
0.6496 0.6496 0.7290 Cl
0.8769 0.4569 0.2350 Cl
```

***

Record 3
First-principles (PBE) data for a relaxed structure of TlHS, as listed in Alexandria via LeMat-Bulk.

Properties
Symmetry ... No. 107

```
TlHS
1.0
-2.2353 2.2353 4.0654
2.2353 -2.2353 4.0654
2.2353 2.2353 -4.0654
Tl H S
1 1 1
Direct
0.0000 0.0000 0.0000 Tl
0.4201 0.4201 0.0000 H
0.5865 0.5865 0.0000 S
```

***

Record 4
First-principles (PBE) data for a relaxed structure of Tb2BiH, as listed in Alexandria via LeMat-Bulk.

Properties
Symmetry ... No. 14

```
Tb2BiH
1.0
7.8558 0.0000 0.0000
0.0000 6.4926 0.0000
-1.2896 0.0000 7.5125
Tb Bi H
8 4 4
Direct
0.0537 0.1386 0.3239 Tb
0.0537 0.3614 0.8239 Tb
0.3211 0.6666 0.5194 Tb
0.3211 0.8334 0.0194 Tb
0.6789 0.1666 0.9806 Tb
0.6789 0.3334 0.4806 Tb
0.9463 0.6386 0.1761 Tb
0.9463 0.8614 0.6761 Tb
0.3465 0.1271 0.6706 Bi
0.3465 0.3729 0.1706 Bi
0.6535 0.6271 0.8294 Bi
0.6535 0.8729 0.3294 Bi
0.0675 0.6838 0.9246 H
0.0675 0.8162 0.4246 H
0.9325 0.1838 0.5754 H
0.9325 0.3162 0.0754 H
```

***

Record 5
First-principles (PBE) data for a relaxed structure of Ti2MnOs, as listed in Alexandria via LeMat-Bulk.

Properties
Symmetry ... No. 122
DFT formation energy ... 233.1 meV/atom

```
Ti2MnOs
1.0
-3.4068 3.4068 2.6961
3.4068 -3.4068 2.6961
3.4068 3.4068 -2.6961
Ti Mn Os
4 2 2
Direct
0.1228 0.6250 0.9978 Ti
0.3750 0.3728 0.4978 Ti
0.6272 0.1250 0.0022 Ti
0.8750 0.8772 0.5022 Ti
0.2500 0.7500 0.5000 Mn
0.5000 0.5000 0.0000 Mn
0.0000 0.0000 0.0000 Os
0.7500 0.2500 0.5000 Os
```

***

Record 6
First-principles (PBE) data for a relaxed structure of PaInNiPt, as listed in Alexandria via LeMat-Bulk.

Properties
Symmetry ... No. 216
DFT formation energy ... -529.7 meV/atom

```
PaInNiPt
1.0
0.0000 3.3750 3.3750
3.3750 0.0000 3.3750
3.3750 3.3750 0.0000
Pa In Ni Pt
1 1 1 1
Direct
0.0000 0.0000 0.0000 Pa
0.5000 0.5000 0.5000 In
0.2500 0.2500 0.2500 Ni
0.7500 0.7500 0.7500 Pt
```

***

Record 7
First-principles (PBE) data for a relaxed structure of FeReMo2, as listed in Alexandria via LeMat-Bulk.

Properties
Symmetry ... No. 8
DFT formation energy ... 205.1 meV/atom

```
FeReMo2
1.0
4.5573 -1.3673 0.0000
4.5573 1.3673 0.0000
-0.8618 0.0000 4.6715
Fe Re Mo
1 1 2
Direct
0.0000 0.0000 0.0000 Fe
0.7298 0.7298 0.2386 Re
0.2611 0.2611 0.7664 Mo
0.4932 0.4932 0.4925 Mo
```

***

Record 8
First-principles (PBE) data for a relaxed structure of PIrSO2, as listed in Alexandria via LeMat-Bulk.

Properties
Formation energy (no corrections) ... 0.38 eV per atom
Symmetry ... No. 123

```
PIrSO2
1.0
3.3803 0.0000 0.0000
0.0000 3.3803 0.0000
0.0000 0.0000 7.8775
P Ir S O
1 1 1 2
Direct
0.0000 0.0000 0.0000 P
0.5000 0.5000 0.0000 Ir
0.0000 0.0000 0.5000 S
0.0000 0.5000 0.5000 O
0.5000 0.0000 0.5000 O
```

***

Record 9
First-principles (PBE) data for a relaxed structure of La3TbHo6Tm2, as listed in Alexandria via LeMat-Bulk.

Properties
Symmetry ... No. 12
DFT formation energy ... 25.5 meV/atom

```
La3TbHo6Tm2
1.0
3.1005 -5.3709 0.0000
3.1005 5.3709 0.0000
-2.0679 0.0000 11.6456
La Tb Ho Tm
3 1 6 2
Direct
0.0000 0.0000 0.0000 La
0.3333 0.6667 0.0000 La
0.6667 0.3333 0.0000 La
0.5000 0.5000 0.5000 Tb
0.0854 0.4191 0.2566 Ho
0.2472 0.2472 0.7435 Ho
0.4191 0.0854 0.2566 Ho
0.5809 0.9146 0.7434 Ho
0.7528 0.7528 0.2565 Ho
0.9146 0.5809 0.7434 Ho
0.1668 0.8332 0.5000 Tm
0.8332 0.1668 0.5000 Tm
```

***

Record 10
First-principles (PBE) data for a relaxed structure of NpCuH6Rh, as listed in Alexandria via LeMat-Bulk.

Properties
Symmetry ... No. 187

```
NpCuH6Rh
1.0
4.5437 0.0000 0.0000
-2.2719 3.9350 0.0000
0.0000 0.0000 4.2958
Np Cu H Rh
1 1 6 1
Direct
0.0000 0.0000 0.0000 Np
0.3333 0.6667 0.5000 Cu
0.5020 0.0041 0.2289 H
0.5020 0.0041 0.7711 H
0.5020 0.4980 0.2289 H
0.5020 0.4980 0.7711 H
0.9959 0.4980 0.2289 H
0.9959 0.4980 0.7711 H
0.6667 0.3333 0.5000 Rh
```

***

Record 11
First-principles (PBE) data for a relaxed structure of NbGeI2, as listed in Alexandria via LeMat-Bulk.

Properties
Formation energy (no corrections) ... 0.56 eV per atom
Symmetry ... No. 225

```
NbGeI2
1.0
0.0000 3.5834 3.5834
3.5834 0.0000 3.5834
3.5834 3.5834 0.0000
Nb Ge I
1 1 2
Direct
0.0000 0.0000 0.0000 Nb
0.5000 0.5000 0.5000 Ge
0.2500 0.2500 0.2500 I
0.7500 0.7500 0.7500 I
```

***

Record 12
First-principles (PBE) data for a relaxed structure of HfNpTcRh, as listed in Alexandria via LeMat-Bulk.

Properties
Symmetry ... No. 216
DFT formation energy ... -322.6 meV/atom

```
HfNpTcRh
1.0
0.0000 3.3240 3.3240
3.3240 0.0000 3.3240
3.3240 3.3240 0.0000
Hf Np Tc Rh
1 1 1 1
Direct
0.0000 0.0000 0.0000 Hf
0.5000 0.5000 0.5000 Np
0.2500 0.2500 0.2500 Tc
0.7500 0.7500 0.7500 Rh
```

***

Number 1: calculated total energy -6.958 eV/atom. Number 2: calculated total energy -3.441 eV/atom. Number 3: calculated total energy -3.498 eV/atom. Number 4: calculated total energy -4.709 eV/atom. Number 5: calculated total energy -8.814 eV/atom. Number 6: calculated total energy -6.544 eV/atom. Number 7: calculated total energy -10.438 eV/atom. Number 8: calculated total energy -5.281 eV/atom. Number 9: calculated total energy -4.626 eV/atom. Number 10: calculated total energy -5.059 eV/atom. Number 11: calculated total energy -3.885 eV/atom. Number 12: calculated total energy -10.476 eV/atom.